VASP calculation (PBE-GGA) on a geometry-optimized Li2HgGeCl6 structure.

As for the energy relative to the elements, uncorrected: -1.100 eV/atom. The magnetic moment is 0.00 μB/f.u. Its volume is 23.07 Å³ per atom.

It has space group R3 (No. 146, hexagonal axes), with a = 6.6320 Å, b = 6.6320 Å, c = 18.1718 Å, α = 90.00°, β = 90.00° and γ = 120.00°. The inequivalent atoms are Li at (0.0000, 0.0000, 0.0000), Li at (0.0000, 0.0000, 0.4906), Hg at (0.0000, 0.0000, 0.1955), Ge at (0.0000, 0.0000, 0.6887), Cl at (0.0135, 0.3671, 0.2578) and Cl at (0.0144, 0.6529, 0.7574).